1.
A relaxed Zr5Pt crystal, computed with GGA-PBE.

abc: 7.6685 7.6685 5.0578
angles: 90.00 90.00 154.73
Closest atoms and distances in Å follow each position.
Atoms (fractional coordinates):
Zr1 0.0000 0.0000 0.0000  6 Zr 3.00-3.35, 4 Pt 3.03
Zr2 0.1573 0.8427 0.5000  2 Pt 2.89, 4 Zr 3.04
Zr3 0.3341 0.6659 0.0000  10 Zr 3.00-3.35
Zr4 0.6659 0.3341 0.0000  10 Zr 3.00-3.35
Zr5 0.8427 0.1573 0.5000  2 Pt 2.89, 4 Zr 3.04
Pt1 0.5000 0.5000 0.5000  8 Zr 2.89-3.03

Computed properties:
* formation energy from the elements: -0.2911 eV per atom
* N(E_F): 8.67 states/eV per cell
* E above lowest polymorph: 45 meV/atom

2.
A relaxed Zr4Pt crystal, computed with GGA-PBE.

abc: 5.8167 5.8167 5.8167
angles: 94.97 94.97 145.77
Closest atoms and distances in Å follow each position.
Atoms (fractional coordinates):
Zr1 0.0893 0.2855 0.3748  2 Pt 2.91, 6 Zr 3.10
Zr2 0.2855 0.9107 0.1962  2 Pt 2.91, 6 Zr 3.10
Zr3 0.7145 0.0893 0.8038  2 Pt 2.91, 6 Zr 3.10
Zr4 0.9107 0.7145 0.6252  2 Pt 2.91, 6 Zr 3.10
Pt1 0.5000 0.5000 0.0000  8 Zr 2.91

Computed properties:
* formation energy from the elements: -0.4205 eV per atom
* N(E_F): 5.08 states/eV per cell
* E above lowest polymorph: 0 meV/atom

3.
A relaxed Zr4Pt5 crystal, computed with GGA-PBE.

abc: 8.2263 8.2263 5.7079
angles: 90.00 90.00 120.00
Closest atoms and distances in Å follow each position.
Atoms (fractional coordinates):
Zr1 0.0000 0.0000 0.0000  2 Zr 2.85, 6 Pt 2.87
Zr2 0.0000 0.0000 0.5000  2 Zr 2.85, 6 Pt 2.87
Zr3 0.0000 0.3650 0.2500  9 Pt 2.74-2.98
Zr4 0.0000 0.6350 0.7500  9 Pt 2.74-2.98
Zr5 0.3650 0.0000 0.2500  9 Pt 2.74-2.98
Zr6 0.3650 0.3650 0.7500  9 Pt 2.74-2.98
Zr7 0.6350 0.0000 0.7500  9 Pt 2.74-2.98
Zr8 0.6350 0.6350 0.2500  9 Pt 2.74-2.98
Pt1 0.0000 0.3024 0.7500  7 Zr 2.74-2.90
Pt2 0.0000 0.6976 0.2500  7 Zr 2.74-2.90
Pt3 0.3024 0.0000 0.7500  7 Zr 2.74-2.90
Pt4 0.3024 0.3024 0.2500  7 Zr 2.74-2.90
Pt5 0.3333 0.6667 0.0000  2 Pt 2.85, 6 Zr 2.98
Pt6 0.3333 0.6667 0.5000  2 Pt 2.85, 6 Zr 2.98
Pt7 0.6667 0.3333 0.0000  2 Pt 2.85, 6 Zr 2.98
Pt8 0.6667 0.3333 0.5000  2 Pt 2.85, 6 Zr 2.98
Pt9 0.6976 0.0000 0.2500  7 Zr 2.74-2.90
Pt10 0.6976 0.6976 0.7500  7 Zr 2.74-2.90

Computed properties:
* formation energy from the elements: -0.9407 eV per atom
* N(E_F): 11.59 states/eV per cell
* E above lowest polymorph: 0 meV/atom

4.
A relaxed ZrPt2 crystal, computed with GGA-PBE.

abc: 9.9636 9.9636 9.9636
angles: 159.96 159.96 28.49
Closest atoms and distances in Å follow each position.
Atoms (fractional coordinates):
Zr1 0.3750 0.6250 0.7500  8 Pt 2.81
Zr2 0.6250 0.3750 0.2500  8 Pt 2.81
Pt1 0.0540 0.8040 0.2500  3 Pt 2.71-2.74, 4 Zr 2.81
Pt2 0.1960 0.9460 0.2500  3 Pt 2.71-2.74, 4 Zr 2.81
Pt3 0.8040 0.0540 0.7500  3 Pt 2.71-2.74, 4 Zr 2.81
Pt4 0.9460 0.1960 0.7500  3 Pt 2.71-2.74, 4 Zr 2.81

Computed properties:
* formation energy from the elements: -0.8192 eV per atom
* N(E_F): 2.98 states/eV per cell

5.
A relaxed ZrPt2 crystal, computed with GGA-PBE.

abc: 3.5717 3.5717 5.3913
angles: 90.00 90.00 120.00
Closest atoms and distances in Å follow each position.
Atoms (fractional coordinates):
Zr1 0.0000 0.0000 0.0000  6 Pt 2.71
Pt1 0.3333 0.6667 0.3268  3 Zr 2.71, 3 Pt 2.78
Pt2 0.6667 0.3333 0.6732  3 Zr 2.71, 3 Pt 2.78

Computed properties:
* formation energy from the elements: -0.6115 eV per atom
* N(E_F): 0.71 states/eV per cell

6.
A relaxed ZrPt2 crystal, computed with GGA-PBE.

abc: 5.7488 4.1831 8.7292
angles: 90.00 90.00 90.00
Closest atoms and distances in Å follow each position.
Atoms (fractional coordinates):
Zr1 0.1579 0.2500 0.1052  10 Pt 2.82-2.98
Zr2 0.3421 0.7500 0.6052  10 Pt 2.82-2.98
Zr3 0.6579 0.2500 0.3948  10 Pt 2.82-2.98
Zr4 0.8421 0.7500 0.8948  10 Pt 2.82-2.98
Pt1 0.1219 0.2500 0.7651  5 Zr 2.82-2.98, 7 Pt 2.85-3.10
Pt2 0.1483 0.2500 0.4280  5 Zr 2.82-2.94, 7 Pt 2.85-3.10
Pt3 0.3517 0.7500 0.9280  5 Zr 2.82-2.94, 7 Pt 2.85-3.10
Pt4 0.3781 0.7500 0.2651  5 Zr 2.82-2.98, 7 Pt 2.85-3.10
Pt5 0.6219 0.2500 0.7349  5 Zr 2.82-2.98, 7 Pt 2.85-3.10
Pt6 0.6483 0.2500 0.0720  5 Zr 2.82-2.94, 7 Pt 2.85-3.10
Pt7 0.8517 0.7500 0.5720  5 Zr 2.82-2.94, 7 Pt 2.85-3.10
Pt8 0.8781 0.7500 0.2349  5 Zr 2.82-2.98, 7 Pt 2.85-3.10

Computed properties:
* formation energy from the elements: -1.0140 eV per atom
* N(E_F): 3.95 states/eV per cell

7.
A relaxed Zr2Pt3 crystal, computed with GGA-PBE.

abc: 7.2965 5.5065 8.0843
angles: 61.53 41.56 76.91
Closest atoms and distances in Å follow each position.
Atoms (fractional coordinates):
Zr1 0.2260 0.7740 0.3693  6 Pt 2.73-2.98
Zr2 0.6193 0.8807 0.4760  6 Pt 2.73-2.98
Zr3 0.7740 0.2260 0.6307  6 Pt 2.73-2.98
Zr4 0.8807 0.6193 0.0240  6 Pt 2.73-2.98
Pt1 0.1730 0.8611 0.0405  4 Zr 2.76-2.98, 5 Pt 2.77-2.98
Pt2 0.2095 0.3246 0.0770  4 Zr 2.76-2.98, 5 Pt 2.77-2.98
Pt3 0.3246 0.2095 0.3889  4 Zr 2.76-2.98, 5 Pt 2.77-2.98
Pt4 0.4038 0.4038 0.5962  4 Zr 2.73-2.83, 4 Pt 2.77-2.78
Pt5 0.6538 0.6538 0.8462  4 Zr 2.73-2.83, 4 Pt 2.77-2.78
Pt6 0.8611 0.1730 0.9254  4 Zr 2.76-2.98, 5 Pt 2.77-2.98

Computed properties:
* formation energy from the elements: -1.0159 eV per atom
* N(E_F): 5.46 states/eV per cell
* E above lowest polymorph: 0 meV/atom

8.
A relaxed Zr5Pt3 crystal, computed with GGA-PBE.

abc: 8.1099 8.1099 8.1103
angles: 96.51 96.51 140.53
Closest atoms and distances in Å follow each position.
Atoms (fractional coordinates):
Zr1 0.0774 0.7149 0.7958  4 Pt 2.81-2.93, 1 Zr 3.12
Zr2 0.2160 0.4202 0.6376  4 Pt 2.81-2.93, 1 Zr 3.12
Zr3 0.2496 0.2496 0.9992  2 Zr 2.74, 4 Pt 2.88
Zr4 0.2851 0.9226 0.2042  4 Pt 2.81-2.93, 1 Zr 3.12
Zr5 0.4202 0.2160 0.6376  4 Pt 2.81-2.93, 1 Zr 3.12
Zr6 0.5798 0.7840 0.3624  4 Pt 2.81-2.93, 1 Zr 3.12
Zr7 0.7149 0.0774 0.7958  4 Pt 2.81-2.93, 1 Zr 3.12
Zr8 0.7504 0.7504 0.0008  2 Zr 2.74, 4 Pt 2.88
Zr9 0.7840 0.5798 0.3624  4 Pt 2.81-2.93, 1 Zr 3.12
Zr10 0.9226 0.2851 0.2042  4 Pt 2.81-2.93, 1 Zr 3.12
Pt1 0.1677 0.1677 0.3316  6 Zr 2.81-2.93
Pt2 0.2500 0.7500 0.5000  2 Pt 2.74, 8 Zr 2.84-2.85
Pt3 0.3343 0.6657 0.0000  6 Zr 2.81-2.93
Pt4 0.6657 0.3343 0.0000  6 Zr 2.81-2.93
Pt5 0.7500 0.2500 0.5000  2 Pt 2.74, 8 Zr 2.84-2.85
Pt6 0.8323 0.8323 0.6684  6 Zr 2.81-2.93

Computed properties:
* formation energy from the elements: -0.8231 eV per atom
* N(E_F): 17.77 states/eV per cell
* E above lowest polymorph: 1 meV/atom

9.
A relaxed Zr5Pt3 crystal, computed with GGA-PBE.

abc: 5.8426 5.8426 4.8796
angles: 90.00 90.00 109.93
Closest atoms and distances in Å follow each position.
Atoms (fractional coordinates):
Zr1 0.0000 0.0000 0.0000  8 Zr 2.92-3.02, 4 Pt 3.25
Zr2 0.0000 0.5000 0.0000  2 Zr 2.92, 6 Pt 2.92-2.97
Zr3 0.2662 0.2662 0.5000  6 Pt 2.80-3.06, 2 Zr 3.02
Zr4 0.5000 0.0000 0.0000  2 Zr 2.92, 6 Pt 2.92-2.97
Zr5 0.7338 0.7338 0.5000  6 Pt 2.80-3.06, 2 Zr 3.02
Pt1 0.2248 0.7752 0.5000  8 Zr 2.80-3.06
Pt2 0.5000 0.5000 0.0000  8 Zr 2.90-2.92
Pt3 0.7752 0.2248 0.5000  8 Zr 2.80-3.06

Computed properties:
* formation energy from the elements: -0.7066 eV per atom
* N(E_F): 9.57 states/eV per cell
* E above lowest polymorph: 118 meV/atom

10.
A relaxed ZrPt2 crystal, computed with GGA-PBE.

abc: 5.2255 5.2255 5.7583
angles: 108.98 108.98 46.06
Closest atoms and distances in Å follow each position.
Atoms (fractional coordinates):
Zr1 0.1718 0.1718 0.1241  9 Pt 2.73-2.97
Zr2 0.8282 0.8282 0.8759  9 Pt 2.73-2.97
Pt1 0.1606 0.1606 0.6012  4 Zr 2.73-2.97, 5 Pt 2.86-2.95
Pt2 0.4935 0.4935 0.2399  7 Pt 2.81-3.12, 5 Zr 2.89-2.96
Pt3 0.5065 0.5065 0.7601  7 Pt 2.81-3.12, 5 Zr 2.89-2.96
Pt4 0.8394 0.8394 0.3988  4 Zr 2.73-2.97, 5 Pt 2.86-2.95

Computed properties:
* formation energy from the elements: -0.8548 eV per atom
* N(E_F): 3.58 states/eV per cell

11.
A relaxed Zr4Pt crystal, computed with GGA-PBE.

abc: 5.4845 5.4845 5.4845
angles: 109.47 109.47 109.47
Closest atoms and distances in Å follow each position.
Atoms (fractional coordinates):
Zr1 0.0000 0.0000 0.5000  2 Pt 2.74
Zr2 0.0000 0.5000 0.0000  2 Pt 2.74
Zr3 0.5000 0.0000 0.0000  2 Pt 2.74
Zr4 0.5000 0.5000 0.5000  2 Pt 2.74
Pt1 0.0000 0.0000 0.0000  8 Zr 2.74

Computed properties:
* formation energy from the elements: 0.2106 eV per atom
* N(E_F): 9.06 states/eV per cell
* E above lowest polymorph: 631 meV/atom

12.
A relaxed ZrPt2 crystal, computed with GGA-PBE.

abc: 5.0168 5.0168 5.7295
angles: 104.34 104.34 49.13
Closest atoms and distances in Å follow each position.
Atoms (fractional coordinates):
Zr1 0.1473 0.1473 0.3003  10 Pt 2.80-3.11
Zr2 0.8527 0.8527 0.6997  10 Pt 2.80-3.11
Pt1 0.1729 0.1729 0.8084  5 Zr 2.82-2.89, 7 Pt 2.89-3.08
Pt2 0.5000 0.5000 0.0000  4 Zr 2.80, 8 Pt 2.86-3.00
Pt3 0.5000 0.5000 0.5000  6 Pt 2.86-2.91, 6 Zr 2.88-3.11
Pt4 0.8271 0.8271 0.1916  5 Zr 2.82-2.89, 7 Pt 2.89-3.08

Computed properties:
* formation energy from the elements: -0.9851 eV per atom
* N(E_F): 3.26 states/eV per cell